Entry 1:
K2CdAs GGA-PBEsol relaxed; energy of formation = -0.020 eV per atom; final energy = -8.65 eV/cell
1.0
3.4138 0.0000 0.0000
0.0000 5.8786 0.0876
0.0000 -0.1700 5.8768
As Cd K
1 1 2
direct
0.5000 0.0000 0.0000
0.5000 0.5000 0.5000
0.0000 0.5000 0.0000
0.0000 0.0000 0.5000

=====

Entry 2:
BWSeF2 GGA-PBEsol relaxed; final energy = -23.90 eV/cell; ΔE_f (raw) = 0.925 eV per atom
1.0
-0.8594 2.0859 2.9577
-0.4395 -3.0775 2.0428
5.4848 0.1870 1.4618
B Se W F
1 1 1 2
direct
0.0000 0.0000 0.5000
0.0000 0.0000 0.0000
0.5000 0.5000 0.5000
0.0000 0.5000 0.0000
0.5000 0.0000 0.0000